1.
Crystalline CaMn4Sb12 at its relaxed geometry, computed with PBE.

Uncorrected formation energy in eV per atom: -0.10

a = 8.091 Å, b = 8.091 Å, c = 8.091 Å
α = 109.47°, β = 109.47°, γ = 109.47°
Fractional coordinates of all 17 atoms:
1 Ca 0.000 0.000 0.000
2 Mn 0.000 0.000 0.500
3 Mn 0.000 0.500 0.000
4 Mn 0.500 0.000 0.000
5 Mn 0.500 0.500 0.500
6 Sb 0.159 0.335 0.495
7 Sb 0.159 0.665 0.824
8 Sb 0.176 0.841 0.335
9 Sb 0.335 0.176 0.841
10 Sb 0.335 0.495 0.159
11 Sb 0.495 0.159 0.335
12 Sb 0.505 0.841 0.665
13 Sb 0.665 0.505 0.841
14 Sb 0.665 0.824 0.159
15 Sb 0.824 0.159 0.665
16 Sb 0.841 0.335 0.176
17 Sb 0.841 0.665 0.505


2.
Crystalline Cs2CdHgI at its relaxed geometry, computed with PBE.

Uncorrected formation energy in eV per atom: -0.50

a = 7.161 Å, b = 7.161 Å, c = 5.435 Å
α = 90.00°, β = 90.00°, γ = 90.00°
Fractional coordinates of all 5 atoms:
1 Cs 0.000 0.500 0.000
2 Cs 0.500 0.000 0.000
3 Cd 0.000 0.000 0.500
4 Hg 0.000 0.000 0.000
5 I 0.500 0.500 0.500


3.
Crystalline LaYSc2 at its relaxed geometry, computed with PBE.

ΔE_f in kcal/mol of atoms: 2.002

a = 5.983 Å, b = 5.983 Å, c = 5.983 Å
α = 131.44°, β = 131.44°, γ = 71.11°
Fractional coordinates of all 4 atoms:
1 La 0.000 0.000 0.000
2 Y 0.750 0.250 0.500
3 Sc 0.250 0.750 0.500
4 Sc 0.500 0.500 0.000


4.
Crystalline Eu2MgHg at its relaxed geometry, computed with PBE.

ΔE_f in kcal/mol of atoms: -6.922

a = 5.577 Å, b = 5.577 Å, c = 5.577 Å
α = 60.00°, β = 60.00°, γ = 60.00°
Fractional coordinates of all 4 atoms:
1 Eu 0.250 0.250 0.250
2 Eu 0.750 0.750 0.750
3 Mg 0.000 0.000 0.000
4 Hg 0.500 0.500 0.500


5.
Crystalline CeInCoNi at its relaxed geometry, computed with PBE.

ΔE_f in kcal/mol of atoms: -4.675

a = 4.634 Å, b = 4.634 Å, c = 4.634 Å
α = 60.00°, β = 60.00°, γ = 60.00°
Fractional coordinates of all 4 atoms:
1 Ce 0.000 0.000 0.000
2 In 0.500 0.500 0.500
3 Co 0.750 0.750 0.750
4 Ni 0.250 0.250 0.250


6.
Crystalline ZrRh2W at its relaxed geometry, computed with PBE.

ΔE_f in kcal/mol of atoms: -7.454

a = 2.886 Å, b = 3.870 Å, c = 5.839 Å
α = 90.00°, β = 90.38°, γ = 90.00°
Fractional coordinates of all 4 atoms:
1 Zr 0.000 0.000 0.000
2 Rh 0.500 0.500 0.266
3 Rh 0.500 0.500 0.734
4 W 0.000 0.000 0.500